Entry 1:
Density functional theory data (GGA-PBE) for an optimized crystal structure of La2TbNd6Dy.

Cell: 9.205 15.306 10.149 Å, 90.00 100.41 90.00°
Space group C2/c (No. 15)
Symmetry-distinct sites (fractional):
La (0.241, 0.049, 0.041)
Tb (0.000, 0.012, 0.750)
Nd (0.068, 0.190, 0.444)
Nd (0.103, 0.398, 0.621)
Nd (0.200, 0.219, 0.811)
Dy (0.000, 0.405, 0.250)

Calculated values
As for the formation energy: 1.119 eV/f.u. As for the spin magnetization: 0.0 Bohr magnetons per cell.

Entry 2:
Density functional theory data (GGA-PBE) for an optimized crystal structure of HoSiMo.

Cell: 8.118 8.118 3.600 Å, 90.00 90.00 90.00°
Space group P4_2/m (No. 84)
Symmetry-distinct sites (fractional):
Ho (0.090, 0.733, 0.000)
Si (0.140, 0.446, 0.500)
Mo (0.349, 0.389, 0.000)

Calculated values
As for the spin magnetization: 0.0 Bohr magnetons per cell. For the uncorrected formation energy, the calculation gives -1.286 eV/f.u.

Entry 3:
Density functional theory data (GGA-PBE) for an optimized crystal structure of SrSmCu2Sb2.

Cell: 4.4578 4.4578 8.6538 Å, 90.00 90.00 120.00°
Space group P-3m1 (No. 164)
Symmetry-distinct sites (fractional):
Sr (0.0000, 0.0000, 0.0000)
Sm (0.0000, 0.0000, 0.5000)
Cu (0.3333, 0.6667, 0.7064)
Sb (0.3333, 0.6667, 0.2595)

Calculated values
As for the spin magnetization: 0.0 Bohr magnetons per cell. For the uncorrected formation energy, the calculation gives -4.300 eV/f.u.

Entry 4:
Density functional theory data (GGA-PBE) for an optimized crystal structure of CaSbTe2H.

Cell: 5.864 5.864 5.899 Å, 90.00 90.00 90.00°
Space group P4/mmm (No. 123)
Symmetry-distinct sites (fractional):
Ca (0.000, 0.000, 0.000)
Sb (0.000, 0.000, 0.500)
Te (0.000, 0.500, 0.000)
H (0.500, 0.500, 0.500)

Calculated values
The value obtained for the calculated total energy is -12.5 eV/cell. As for the spin magnetization: 1.2 Bohr magnetons per cell.

Entry 5:
Density functional theory data (GGA-PBE) for an optimized crystal structure of RbTlIN2.

Cell: 4.859 4.859 6.516 Å, 90.00 90.00 90.00°
Space group P4/mmm (No. 123)
Symmetry-distinct sites (fractional):
Rb (0.000, 0.000, 0.000)
Tl (0.500, 0.500, 0.500)
I (0.500, 0.500, 0.000)
N (0.000, 0.500, 0.500)

Calculated values
As for the spin magnetization: 3.4 Bohr magnetons per cell. For the uncorrected formation energy, the calculation gives 5.401 eV/f.u.

Entry 6:
Density functional theory data (GGA-PBE) for an optimized crystal structure of NaZnGe.

Cell: 10.400 4.456 7.026 Å, 90.00 131.92 90.00°
Space group Cm (No. 8)
Symmetry-distinct sites (fractional):
Na (0.000, 0.000, 0.000)
Na (0.090, 0.000, 0.591)
Zn (0.385, 0.000, 0.174)
Zn (0.386, 0.000, 0.596)
Ge (0.213, 0.500, 0.021)
Ge (0.215, 0.500, 0.406)

Calculated values
As for the formation energy: -0.316 eV/f.u. As for the spin magnetization: 0.0 Bohr magnetons per cell.

Entry 7:
Density functional theory data (GGA-PBE) for an optimized crystal structure of AlIn3Au.

Cell: 5.338 5.338 5.338 Å, 90.00 90.00 90.00°
Space group Pm-3m (No. 221)
Symmetry-distinct sites (fractional):
Al (0.000, 0.000, 0.000)
In (0.000, 0.500, 0.500)
Au (0.500, 0.500, 0.500)

Calculated values
As for the formation energy: 1.587 eV/f.u. As for the spin magnetization: 0.0 Bohr magnetons per cell.

Entry 8:
Density functional theory data (GGA-PBE) for an optimized crystal structure of CrCd.

Cell: 5.480 5.480 5.501 Å, 90.00 90.00 90.00°
Space group P4_2/mnm (No. 136)
Symmetry-distinct sites (fractional):
Cr (0.120, 0.120, 0.000)
Cd (0.173, 0.173, 0.500)

Calculated values
As for the formation energy: 2.122 eV/f.u. As for the spin magnetization: 1.5 Bohr magnetons per cell.

Entry 9:
Density functional theory data (GGA-PBE) for an optimized crystal structure of TlCr4As.

Cell: 7.041 7.041 7.041 Å, 90.00 90.00 90.00°
Space group F-43m (No. 216)
Symmetry-distinct sites (fractional):
Tl (0.000, 0.000, 0.000)
Cr (0.127, 0.127, 0.373)
As (0.250, 0.250, 0.750)

Calculated values
As for the formation energy: 3.747 eV/f.u. As for the spin magnetization: 0.0 Bohr magnetons per cell.

Entry 10:
Density functional theory data (GGA-PBE) for an optimized crystal structure of NiHSe2.

Cell: 3.4046 3.4046 19.9778 Å, 90.00 90.00 120.00°
Space group R3m (No. 160, hexagonal axes)
Symmetry-distinct sites (fractional):
Ni (0.0000, 0.0000, 0.0000)
H (0.0000, 0.0000, 0.4547)
Se (0.0000, 0.0000, 0.1173)
Se (0.0000, 0.0000, 0.6081)

Calculated values
The value obtained for the calculated total energy is -46.5 eV/cell. As for the spin magnetization: 0.0 Bohr magnetons per cell.

Entry 11:
Density functional theory data (GGA-PBE) for an optimized crystal structure of ScCo2Bi.

Cell: 4.151 4.151 18.062 Å, 90.00 90.00 90.00°
Space group I-42d (No. 122)
Symmetry-distinct sites (fractional):
Sc (0.000, 0.000, 0.000)
Co (0.165, 0.250, 0.125)
Bi (0.000, 0.000, 0.500)

Calculated values
As for the formation energy: 1.482 eV/f.u. As for the spin magnetization: 11.4 Bohr magnetons per cell.

Entry 12:
Density functional theory data (GGA-PBE) for an optimized crystal structure of Sr12Ga5H2.

Cell: 15.726 9.294 10.332 Å, 90.00 107.95 90.00°
Space group C2/m (No. 12)
Symmetry-distinct sites (fractional):
Sr (0.007, 0.000, 0.243)
Sr (0.031, 0.500, 0.320)
Sr (0.150, 0.241, 0.069)
Sr (0.159, 0.216, 0.589)
Ga (0.000, 0.500, 0.000)
Ga (0.200, 0.000, 0.859)
Ga (0.215, 0.000, 0.360)
H (0.000, 0.336, 0.500)

Calculated values
The value obtained for the calculated total energy is -91.1 eV/cell. As for the spin magnetization: 0.0 Bohr magnetons per cell.